VASP calculation (PBE) on crystalline PrNiGe2 at its relaxed geometry.

Lattice parameters (Å, degrees): 3.452 7.265 6.346 90.00 90.00 90.00
Sites, in units of the cell vectors:
Pr1 0.500 0.076 0.500
Pr2 0.500 0.924 0.000
Ge1 0.500 0.378 0.825
Ge2 0.000 0.268 0.173
Ge3 0.500 0.622 0.325
Ge4 0.000 0.732 0.673
Ni1 0.000 0.441 0.502
Ni2 0.000 0.559 0.002

Calculated values
SG   Pmc2_1, No. 26
Raw total energy   -5.166 eV/atom

---

VASP calculation (PBE) on crystalline PrNiGe2 at its relaxed geometry.

Lattice parameters (Å, degrees): 6.138 4.104 6.207 90.00 90.03 90.00
Sites, in units of the cell vectors:
Ge1 0.340 0.000 0.241
Ge2 0.839 0.500 0.768
Ge3 0.105 0.000 0.610
Ge4 0.605 0.500 0.398
Pr1 0.357 0.500 0.879
Pr2 0.857 0.000 0.130
Ni1 0.695 0.000 0.610
Ni2 0.195 0.500 0.398

Calculated values
SG   Pmn2_1, No. 31
Raw total energy   -5.394 eV/atom

---

VASP calculation (PBE) on crystalline Pr2Ni3Ge5 at its relaxed geometry.

Lattice parameters (Å, degrees): 5.995 8.284 8.284 91.73 111.21 111.21
Sites, in units of the cell vectors:
Ge1 0.750 0.762 0.238
Ge2 0.652 0.050 0.255
Ge3 0.250 0.238 0.762
Ge4 0.750 0.238 0.762
Ge5 0.750 0.500 0.500
Ge6 0.152 0.255 0.050
Ge7 0.848 0.745 0.950
Ge8 0.348 0.950 0.745
Ge9 0.250 0.500 0.500
Ge10 0.250 0.762 0.238
Pr1 0.239 0.607 0.871
Pr2 0.261 0.129 0.393
Pr3 0.739 0.871 0.607
Pr4 0.761 0.393 0.129
Ni1 0.110 0.744 0.477
Ni2 0.250 0.000 0.000
Ni3 0.610 0.477 0.744
Ni4 0.890 0.256 0.523
Ni5 0.390 0.523 0.256
Ni6 0.750 0.000 0.000

Calculated values
SG   Ibam, No. 72
Raw total energy   -5.598 eV/atom

---

VASP calculation (PBE) on crystalline Pr2Ni3Ge5 at its relaxed geometry.

Lattice parameters (Å, degrees): 8.276 8.276 6.000 111.16 111.16 91.73
Sites, in units of the cell vectors:
Ni1 0.257 0.527 0.392
Ni2 0.743 0.473 0.608
Ni3 0.473 0.743 0.108
Ni4 0.527 0.257 0.892
Ni5 0.002 0.998 0.250
Ni6 0.998 0.002 0.750
Ge1 0.744 0.947 0.343
Ge2 0.235 0.765 0.750
Ge3 0.500 0.500 0.250
Ge4 0.500 0.500 0.750
Ge5 0.053 0.256 0.157
Ge6 0.765 0.235 0.250
Ge7 0.234 0.766 0.250
Ge8 0.947 0.744 0.843
Ge9 0.766 0.234 0.750
Ge10 0.256 0.053 0.657
Pr1 0.396 0.130 0.264
Pr2 0.130 0.396 0.764
Pr3 0.604 0.870 0.736
Pr4 0.870 0.604 0.236

Calculated values
SG   C2/c, No. 15
Raw total energy   -5.598 eV/atom

---

VASP calculation (PBE) on crystalline Pr2NiGe at its relaxed geometry.

Lattice parameters (Å, degrees): 4.244 5.919 5.919 41.25 90.00 90.00
Sites, in units of the cell vectors:
Ni1 0.500 0.569 0.569
Pr1 0.500 0.860 0.860
Pr2 0.000 0.138 0.138
Ge1 0.000 0.432 0.432

Calculated values
SG   Amm2, No. 38
Raw total energy   -5.497 eV/atom

---

VASP calculation (PBE) on crystalline PrNi2GeSb at its relaxed geometry.

Lattice parameters (Å, degrees): 4.312 4.312 9.973 90.00 90.00 90.00
Sites, in units of the cell vectors:
Pr1 0.500 0.000 0.739
Pr2 0.000 0.500 0.261
Ge1 0.000 0.000 0.500
Ge2 0.500 0.500 0.500
Sb1 0.500 0.000 0.136
Sb2 0.000 0.500 0.864
Ni1 0.500 0.500 0.000
Ni2 0.500 0.000 0.392
Ni3 0.000 0.000 0.000
Ni4 0.000 0.500 0.608

Calculated values
SG   P4/nmm, No. 129
Raw total energy   -5.646 eV/atom

---

VASP calculation (PBE) on crystalline PrSiNi2Ge at its relaxed geometry.

Lattice parameters (Å, degrees): 5.698 5.698 5.698 137.65 137.65 61.43
Sites, in units of the cell vectors:
Si1 0.635 0.635 0.000
Pr1 0.001 0.001 0.000
Ni1 0.246 0.746 0.500
Ni2 0.746 0.246 0.500
Ge1 0.372 0.372 0.000

Calculated values
SG   I4mm, No. 107
Raw total energy   -5.935 eV/atom

---

VASP calculation (PBE) on crystalline Pr3Si2Ni4Ge2 at its relaxed geometry.

Lattice parameters (Å, degrees): 12.266 12.266 12.266 160.61 160.48 27.65
Sites, in units of the cell vectors:
Ge1 0.054 0.054 0.000
Ge2 0.946 0.946 0.000
Si1 0.702 0.202 0.500
Si2 0.298 0.798 0.500
Ni1 0.251 0.251 0.000
Ni2 0.603 0.103 0.500
Ni3 0.749 0.749 0.000
Ni4 0.397 0.897 0.500
Pr1 0.848 0.348 0.500
Pr2 0.500 0.500 0.000
Pr3 0.152 0.652 0.500

Calculated values
SG   Immm, No. 71
Raw total energy   -5.903 eV/atom

---

VASP calculation (PBE) on crystalline Pr2SiNi2Ge at its relaxed geometry.

Lattice parameters (Å, degrees): 4.100 4.100 8.418 90.00 90.00 120.00
Sites, in units of the cell vectors:
Pr1 0.667 0.333 0.747
Pr2 0.667 0.333 0.253
Si1 0.333 0.667 0.500
Ge1 0.000 0.000 0.000
Ni1 0.000 0.000 0.500
Ni2 0.333 0.667 0.000

Calculated values
SG   P-6m2, No. 187
Raw total energy   -5.816 eV/atom

---

VASP calculation (PBE) on crystalline PrSmNi2Ge4 at its relaxed geometry.

Lattice parameters (Å, degrees): 4.241 8.644 8.644 28.41 90.00 90.00
Sites, in units of the cell vectors:
Ge1 0.000 0.543 0.543
Ge2 0.500 0.749 0.749
Ge3 0.500 0.458 0.458
Ge4 0.000 0.250 0.250
Sm1 0.500 0.108 0.108
Ni1 0.500 0.318 0.318
Ni2 0.000 0.681 0.681
Pr1 0.000 0.892 0.892

Calculated values
SG   Amm2, No. 38
Raw total energy   -5.632 eV/atom

---

VASP calculation (PBE) on crystalline TbPrNi2Ge4 at its relaxed geometry.

Lattice parameters (Å, degrees): 4.225 8.618 8.618 28.27 90.00 90.00
Sites, in units of the cell vectors:
Ge1 0.500 0.459 0.459
Ge2 0.000 0.544 0.544
Ge3 0.000 0.249 0.249
Ge4 0.500 0.748 0.748
Ni1 0.000 0.681 0.681
Ni2 0.500 0.318 0.318
Tb1 0.500 0.109 0.109
Pr1 0.000 0.893 0.893

Calculated values
SG   Amm2, No. 38
Raw total energy   -5.607 eV/atom

---

VASP calculation (PBE) on crystalline Pr4TlNi2Ge4 at its relaxed geometry.

Lattice parameters (Å, degrees): 8.359 8.359 7.356 107.96 107.96 30.22
Sites, in units of the cell vectors:
Pr1 0.656 0.656 0.940
Pr2 0.344 0.344 0.060
Pr3 0.409 0.409 0.615
Pr4 0.591 0.591 0.385
Ge1 0.066 0.066 0.655
Ge2 0.934 0.934 0.345
Ge3 0.787 0.787 0.707
Ge4 0.213 0.213 0.293
Ni1 0.214 0.214 0.645
Ni2 0.786 0.786 0.355
Tl1 0.000 0.000 0.000

Calculated values
SG   C2/m, No. 12
Raw total energy   -5.350 eV/atom

---

VASP calculation (PBE) on crystalline PrTmNi2Ge4 at its relaxed geometry.

Lattice parameters (Å, degrees): 4.211 8.619 8.619 28.05 90.00 90.00
Sites, in units of the cell vectors:
Ge1 0.000 0.543 0.543
Ge2 0.000 0.249 0.249
Ge3 0.500 0.747 0.747
Ge4 0.500 0.460 0.460
Pr1 0.000 0.893 0.893
Ni1 0.500 0.319 0.319
Ni2 0.000 0.680 0.680
Tm1 0.500 0.109 0.109

Calculated values
SG   Amm2, No. 38
Raw total energy   -5.555 eV/atom

---

VASP calculation (PBE) on crystalline Ni2GePt at its relaxed geometry.

Lattice parameters (Å, degrees): 4.183 4.183 4.183 60.00 60.00 60.00
Sites, in units of the cell vectors:
Ni1 0.750 0.750 0.750
Ni2 0.000 0.000 0.000
Pt1 0.250 0.250 0.250
Ge1 0.500 0.500 0.500

Calculated values
SG   F-43m, No. 216
Raw total energy   -5.657 eV/atom

---

VASP calculation (PBE) on crystalline NiGe2Pt at its relaxed geometry.

Lattice parameters (Å, degrees): 3.527 6.113 5.660 90.00 90.00 90.00
Sites, in units of the cell vectors:
Ge1 0.000 0.686 0.315
Ge2 0.500 0.145 0.191
Ge3 0.500 0.855 0.691
Ge4 0.000 0.314 0.815
Pt1 0.500 0.433 0.499
Pt2 0.500 0.567 0.999
Ni1 0.000 0.948 0.995
Ni2 0.000 0.052 0.495

Calculated values
Excess energy over the best structure of this formula in the dataset   0.160 kcal/mol of atoms
SG   Pmc2_1, No. 26

---

VASP calculation (PBE) on crystalline NiGePt2 at its relaxed geometry.

Lattice parameters (Å, degrees): 4.357 4.357 4.357 60.00 60.00 60.00
Sites, in units of the cell vectors:
Pt1 0.000 0.000 0.000
Pt2 0.750 0.750 0.750
Ge1 0.500 0.500 0.500
Ni1 0.250 0.250 0.250

Calculated values
SG   F-43m, No. 216
Raw total energy   -5.677 eV/atom

---

VASP calculation (PBE) on crystalline NiGe2Pt at its relaxed geometry.

Lattice parameters (Å, degrees): 5.575 3.559 6.144 90.00 90.16 90.00
Sites, in units of the cell vectors:
Ni1 0.004 0.250 0.807
Ni2 0.996 0.750 0.193
Ge1 0.173 0.250 0.413
Ge2 0.827 0.750 0.587
Ge3 0.708 0.250 0.080
Ge4 0.292 0.750 0.920
Pt1 0.500 0.250 0.698
Pt2 0.500 0.750 0.302

Calculated values
Excess energy over the best structure of this formula in the dataset   0.000 kcal/mol of atoms
SG   P2_1/m, No. 11

---

VASP calculation (PBE) on crystalline NiGe2Pt at its relaxed geometry.

Lattice parameters (Å, degrees): 3.558 5.650 6.099 90.00 90.00 90.00
Sites, in units of the cell vectors:
Ge1 0.000 0.441 0.083
Ge2 0.000 0.930 0.413
Ge3 0.500 0.070 0.913
Ge4 0.500 0.559 0.583
Pt1 0.500 0.243 0.311
Pt2 0.000 0.757 0.811
Ni1 0.500 0.749 0.192
Ni2 0.000 0.251 0.692

Calculated values
Excess energy over the best structure of this formula in the dataset   0.465 kcal/mol of atoms
SG   Pmn2_1, No. 31

---

VASP calculation (PBE) on crystalline Ni3Ge2Pt at its relaxed geometry.

Lattice parameters (Å, degrees): 3.602 3.602 6.174 90.00 90.00 90.00
Sites, in units of the cell vectors:
Ni1 0.500 0.000 0.996
Ni2 0.000 0.500 0.996
Ni3 0.500 0.500 0.645
Pt1 0.000 0.000 0.357
Ge1 0.500 0.500 0.258
Ge2 0.000 0.000 0.748

Calculated values
SG   P4mm, No. 99
Raw total energy   -5.669 eV/atom

---

VASP calculation (PBE) on crystalline NiGe2Pt at its relaxed geometry.

Lattice parameters (Å, degrees): 4.413 4.413 4.413 60.00 60.00 60.00
Sites, in units of the cell vectors:
Pt1 0.500 0.500 0.500
Ge1 0.750 0.750 0.750
Ge2 0.000 0.000 0.000
Ni1 0.250 0.250 0.250

Calculated values
Excess energy over the best structure of this formula in the dataset   10.772 kcal/mol of atoms
SG   F-43m, No. 216

---

VASP calculation (PBE) on crystalline ReNiGePt at its relaxed geometry.

Lattice parameters (Å, degrees): 4.364 4.364 4.364 60.00 60.00 60.00
Sites, in units of the cell vectors:
Ge1 0.000 0.000 0.000
Ni1 0.750 0.750 0.750
Pt1 0.250 0.250 0.250
Re1 0.500 0.500 0.500

Calculated values
SG   F-43m, No. 216
Raw total energy   -6.781 eV/atom

---

VASP calculation (PBE) on crystalline TaNiGePt at its relaxed geometry.

Lattice parameters (Å, degrees): 4.420 4.420 4.420 60.00 60.00 60.00
Sites, in units of the cell vectors:
Pt1 0.250 0.250 0.250
Ta1 0.500 0.500 0.500
Ni1 0.750 0.750 0.750
Ge1 0.000 0.000 0.000

Calculated values
Excess energy over the best structure of this formula in the dataset   1.818 kcal/mol of atoms
SG   F-43m, No. 216

---

VASP calculation (PBE) on crystalline TaNiGePt at its relaxed geometry.

Lattice parameters (Å, degrees): 4.397 4.397 4.397 60.00 60.00 60.00
Sites, in units of the cell vectors:
Ta1 0.250 0.250 0.250
Ni1 0.750 0.750 0.750
Ge1 0.000 0.000 0.000
Pt1 0.500 0.500 0.500

Calculated values
Excess energy over the best structure of this formula in the dataset   0.000 kcal/mol of atoms
SG   F-43m, No. 216

---

VASP calculation (PBE) on crystalline Zr2NiGe2Pt at its relaxed geometry.

Lattice parameters (Å, degrees): 7.442 4.283 14.220 90.00 99.79 90.00
Sites, in units of the cell vectors:
Zr1 0.563 0.500 0.188
Zr2 0.815 0.000 0.446
Zr3 0.071 0.500 0.685
Zr4 0.824 0.500 0.939
Zr5 0.061 0.000 0.182
Zr6 0.300 0.000 0.931
Zr7 0.550 0.000 0.683
Zr8 0.315 0.500 0.445
Ni1 0.247 0.000 0.747
Ni2 0.001 0.000 0.998
Ni3 0.499 0.000 0.501
Ni4 0.002 0.500 0.503
Ge1 0.943 0.000 0.812
Ge2 0.687 0.500 0.559
Ge3 0.429 0.500 0.808
Ge4 0.186 0.000 0.563
Ge5 0.694 0.000 0.059
Ge6 0.440 0.000 0.321
Ge7 0.182 0.500 0.059
Ge8 0.942 0.500 0.322
Pt1 0.499 0.500 0.997
Pt2 0.750 0.500 0.748
Pt3 0.250 0.500 0.252
Pt4 0.753 0.000 0.254

Calculated values
SG   Pm, No. 6
Raw total energy   -7.195 eV/atom

---

| no. | total moment (μB/atom) |
| --- | --- |
| 1 | 0.00 |
| 2 | 0.00 |
| 3 | 0.00 |
| 4 | 0.00 |
| 5 | 0.00 |
| 6 | 0.00 |
| 7 | 0.00 |
| 8 | 0.00 |
| 9 | 0.02 |
| 10 | 0.00 |
| 11 | 0.00 |
| 12 | 0.00 |
| 13 | 0.00 |
| 14 | 0.00 |
| 15 | 0.00 |
| 16 | 0.00 |
| 17 | 0.00 |
| 18 | 0.00 |
| 19 | 0.00 |
| 20 | 0.00 |
| 21 | 0.48 |
| 22 | 0.00 |
| 23 | 0.00 |
| 24 | 0.00 |